Below is InFe2Cu after structural relaxation, with properties calculated at the PBE level.

DOS at the Fermi energy = 14.18 states/eV per cell
total DFT energy (no corrections) = -21.9 eV per formula unit
mass density = 8.16 g/cm3
energy relative to the elements = 0.462 eV/atom
volume = 14.8 A^3/atom
magnetization = 1.2950 μB per atom

a = 2.8167 Å, b = 2.8167 Å, c = 25.7725 Å
α = 90.00°, β = 90.00°, γ = 120.00°
With the nearest neighbours (Å) after each atom.
Space group R-3m (No. 166, hexagonal axes)
Asymmetric unit:
In: 0.0000 0.0000 0.0000 x3  6 In 2.82, 6 Fe 2.82
Fe: 0.0000 0.0000 0.2440 x6  3 Cu 2.57, 6 Fe 2.82, 3 In 2.82
Cu: 0.0000 0.0000 0.5000 x3  6 Fe 2.57, 6 Cu 2.82